Entry 1:
DFT (PBE) results for a relaxed structure of CuWSe.

Cell lengths 3.319, 5.629, 5.664 Å; angles 72.54, 89.48, 89.63 degrees
Element x y z (fractional)
Se (0.751, 0.728, 0.565)
W (0.250, 0.432, 0.855)
Cu (0.748, 0.071, 0.128)
Se (0.249, 0.272, 0.435)
W (0.750, 0.568, 0.145)
Cu (0.252, 0.929, 0.872)

Computed properties:
SG: P-1 (2)
Energy above the most stable polymorph in this dataset in kJ/mol of formula units: 31
Magnetic moment in μB per formula unit: 0.00
Crystal system: triclinic
V in Å³ per cell: 100.9
Raw formation energy in meV/atom: 209
Uncorrected energy in eV per atom: -6.64

***

Entry 2:
DFT (PBE) results for a relaxed structure of LiCaBiPt.

Cell lengths 4.915, 4.915, 4.915 Å; angles 60.00, 60.00, 60.00 degrees
Element x y z (fractional)
Pt (0.750, 0.750, 0.750)
Li (0.250, 0.250, 0.250)
Bi (0.000, 0.000, 0.000)
Ca (0.500, 0.500, 0.500)

Computed properties:
SG: F-43m (216)
Formation enthalpy at 0 K in eV per atom: -0.655
Magnetic moment in μB per formula unit: 0.00
Crystal system: cubic
V in Å³ per cell: 84.0
Uncorrected energy in eV per atom: -4.11

***

Entry 3:
DFT (PBE) results for a relaxed structure of NaTa3C.

Cell lengths 4.588, 4.588, 4.588 Å; angles 90.00, 90.00, 90.00 degrees
Element x y z (fractional)
Ta (0.500, 0.000, 0.000)
Ta (0.000, 0.500, 0.000)
Na (0.000, 0.000, 0.000)
C (0.500, 0.500, 0.500)
Ta (0.000, 0.000, 0.500)

Computed properties:
SG: Pm-3m (221)
Energy above the most stable polymorph in this dataset in kJ/mol of formula units: 1515
Formation enthalpy at 0 K in eV per atom: 3.547
Magnetic moment in μB per formula unit: 0.00
Crystal system: cubic
V in Å³ per cell: 96.6
Uncorrected energy in eV per atom: -5.67